1:
Material: ScTe2PI
Method: DFT, GGA-PBE
State: relaxed

Cell lengths 5.3307, 5.3307, 5.1792 Å; angles 90.00, 90.00, 90.00 degrees
Fractional positions:
I  0.0000  0.0000  0.5000
Sc  0.5000  0.5000  0.5000
Te  0.0000  0.5000  0.0000
Te  0.5000  0.0000  0.0000
P  0.0000  0.0000  0.0000

Summary:
**Size of the total moment**: 0.019 μB per cell

2:
Material: ScTe2PI
Method: DFT, GGA-PBE
State: relaxed

Cell lengths 5.6185, 5.6185, 5.6031 Å; angles 90.00, 90.00, 90.00 degrees
Last column: magnetic moment on the atom in μB.
Fractional positions:
I  0.0000  0.0000  0.5000  -0.03
Sc  0.0000  0.0000  0.0000  0.06
Te  0.0000  0.5000  0.0000  -0.19
Te  0.5000  0.0000  0.0000  -0.19
P  0.5000  0.5000  0.5000  0.95

Summary:
**Size of the total moment**: 1.546 μB per cell

Most stable: 1. Least stable: 2.

1:
Material: P4Se3I2
Method: DFT, GGA-PBE
State: relaxed

Cell lengths 7.8850, 10.4063, 16.4137 Å; angles 90.00, 90.00, 90.00 degrees
Fractional positions:
I  0.6981  0.3385  0.9648
I  0.1981  0.1615  0.0352
I  0.3019  0.6615  0.4648
I  0.8019  0.8385  0.5352
I  0.3019  0.6615  0.0352
I  0.8019  0.8385  0.9648
I  0.6981  0.3385  0.5352
I  0.1981  0.1615  0.4648
P  0.5526  0.4535  0.8510
P  0.0526  0.0465  0.1490
P  0.4474  0.5465  0.3510
P  0.9474  0.9535  0.6490
P  0.4474  0.5465  0.1490
P  0.9474  0.9535  0.8510
P  0.5526  0.4535  0.6490
P  0.0526  0.0465  0.3510
P  0.2653  0.2356  0.7500
P  0.7653  0.2644  0.2500
P  0.7347  0.7644  0.2500
P  0.2347  0.7356  0.7500
P  0.6690  0.3407  0.7500
P  0.1690  0.1593  0.2500
P  0.3310  0.6593  0.2500
P  0.8310  0.8407  0.7500
Se  0.2796  0.3737  0.8584
Se  0.7796  0.1263  0.1416
Se  0.7204  0.6263  0.3584
Se  0.2204  0.8737  0.6416
Se  0.7204  0.6263  0.1416
Se  0.2204  0.8737  0.8584
Se  0.2796  0.3737  0.6416
Se  0.7796  0.1263  0.3584
Se  0.5290  0.1498  0.7500
Se  0.0290  0.3502  0.2500
Se  0.4710  0.8502  0.2500
Se  0.9710  0.6498  0.7500

Summary:
**Size of the total moment**: 0.000 μB per cell

2:
Material: P4Se3I2
Method: DFT, GGA-PBE
State: relaxed

Cell lengths 12.6152, 12.6152, 12.6152 Å; angles 119.35, 119.35, 91.13 degrees
Fractional positions:
I  0.5289  0.1001  0.1057
I  0.9943  0.4231  0.8943
I  0.8999  0.0057  0.4288
I  0.5769  0.4711  0.5712
I  0.7557  0.1499  0.9288
I  0.2211  0.8269  0.0712
I  0.1731  0.2443  0.3943
I  0.8501  0.7789  0.6057
P  0.2768  0.3959  0.1456
P  0.2503  0.1312  0.8544
P  0.6041  0.7497  0.8809
P  0.8688  0.7232  0.1191
P  0.4997  0.8541  0.3809
P  0.4732  0.1188  0.6191
P  0.8812  0.5003  0.3544
P  0.1459  0.5268  0.6456
P  0.4613  0.2363  0.0093
P  0.2270  0.4520  0.9907
P  0.7637  0.7730  0.2251
P  0.5480  0.5387  0.7749
P  0.5230  0.0137  0.7251
P  0.2887  0.7980  0.2749
P  0.2020  0.4770  0.4907
P  0.9863  0.7113  0.5093
Se  0.1788  0.1788  0.0000
Se  0.8212  0.8212  0.0000
Se  0.5712  0.0712  0.5000
Se  0.9288  0.4288  0.5000
Se  0.4829  0.4227  0.2050
Se  0.2176  0.2779  0.7950
Se  0.5773  0.7824  0.0602
Se  0.7221  0.5171  0.9398
Se  0.5324  0.8273  0.5602
Se  0.2671  0.9721  0.4398
Se  0.0279  0.4676  0.2950
Se  0.1727  0.7329  0.7050

Summary:
**Size of the total moment**: 0.000 μB per cell

Most stable: 2. Least stable: 1.

1:
Material: PSeI3
Method: DFT, GGA-PBE
State: relaxed

Cell lengths 5.5368, 5.5368, 5.5368 Å; angles 90.00, 90.00, 90.00 degrees
Last column: magnetic moment on the atom in μB.
Fractional positions:
I  0.0000  0.5000  0.0000  0.07
I  0.0000  0.0000  0.5000  0.12
I  0.5000  0.0000  0.0000  0.11
P  0.0000  0.0000  0.0000  -0.05
Se  0.5000  0.5000  0.5000  1.10

Summary:
**Size of the total moment**: 2.100 μB per cell

2:
Material: PSeI3
Method: DFT, GGA-PBE
State: relaxed

Cell lengths 5.7615, 5.7615, 5.7615 Å; angles 90.00, 90.00, 90.00 degrees
Last column: magnetic moment on the atom in μB.
Fractional positions:
I  0.0000  0.5000  0.0000  0.01
I  0.0000  0.0000  0.5000  -0.02
I  0.5000  0.0000  0.0000  0.02
P  0.5000  0.5000  0.5000  1.06
Se  0.0000  0.0000  0.0000  -0.04

Summary:
**Size of the total moment**: 2.383 μB per cell

Most stable: 1. Least stable: 2.

1:
Material: P2SeI
Method: DFT, GGA-PBE
State: relaxed

Cell lengths 7.1386, 7.1386, 6.4571 Å; angles 56.44, 56.44, 90.00 degrees
Fractional positions:
I  0.0000  0.0000  0.0000
I  0.7500  0.2500  0.5000
P  0.5802  0.1250  0.2500
P  0.1698  0.6250  0.2500
P  0.3750  0.4198  0.7500
P  0.8750  0.8302  0.7500
Se  0.5000  0.5000  0.0000
Se  0.2500  0.7500  0.5000

Summary:
**Size of the total moment**: 0.000 μB per cell

2:
Material: P2SeI
Method: DFT, GGA-PBE
State: relaxed

Cell lengths 4.8748, 4.8748, 4.8748 Å; angles 60.00, 60.00, 60.00 degrees
Fractional positions:
I  0.5000  0.5000  0.5000
P  0.2500  0.2500  0.2500
P  0.7500  0.7500  0.7500
Se  0.0000  0.0000  0.0000

Summary:
**Size of the total moment**: 0.000 μB per cell

Most stable: 1. Least stable: 2.